(1)
PBE La3Ce2PuSe6, relaxed; E_tot = -84.176 eV for the cell shown; total magnetic moment = 4.1 μB/cell; raw formation energy = -1857 meV per atom
1.0
3.680 -6.382 0.000
3.680 6.382 0.000
-2.460 0.000 6.947
La Ce Pu Se
3 2 1 6
Cartesian
0.000 0.000 0.000 La
3.680 2.138 0.000 La
3.680 -2.138 0.000 La
2.450 4.258 3.473 Ce
2.450 -4.258 3.473 Ce
2.450 0.000 3.473 Pu
1.236 2.111 1.800 Se
0.016 0.000 5.154 Se
1.236 -2.111 1.800 Se
3.664 2.111 5.146 Se
4.884 0.000 1.793 Se
3.664 -2.111 5.146 Se

(2)
PBE KPrRe2O8, relaxed; E_tot = -93.975 eV for the cell shown; total magnetic moment = 2.0 μB/cell; raw formation energy = -1961 meV per atom
1.0
6.128 0.000 0.000
-3.064 5.307 0.000
0.000 0.000 7.729
K Pr Re O
1 1 2 8
Cartesian
0.000 0.000 0.000 K
0.000 0.000 3.864 Pr
0.000 3.538 6.003 Re
3.064 1.769 1.726 Re
0.000 1.840 5.373 O
-1.471 4.387 5.373 O
0.000 3.538 0.037 O
1.593 0.920 2.356 O
1.471 4.387 5.373 O
3.064 1.769 7.692 O
4.535 0.920 2.356 O
3.064 3.467 2.356 O

(3)
PBE BaZn2SiTc, relaxed; E above lowest polymorph = 1.088 eV per atom; E_tot = -15.772 eV for the cell shown; total magnetic moment = 0.0 μB/cell; raw formation energy = 898 meV per atom
1.0
4.947 0.000 0.000
0.000 4.947 0.000
0.000 0.000 5.514
Ba Zn Si Tc
1 2 1 1
Cartesian
0.000 0.000 0.000 Ba
0.000 2.474 2.757 Zn
2.474 0.000 2.757 Zn
2.474 2.474 0.000 Si
0.000 0.000 2.757 Tc

(4)
PBE Sr2CrHg, relaxed; ΔE_f = 0.406 eV/atom; E above lowest polymorph = 0.323 eV per atom; E_tot = -23.330 eV for the cell shown; total magnetic moment = 10.0 μB/cell
1.0
-4.434 4.434 3.713
4.434 -4.434 3.713
4.434 4.434 -3.713
Sr Cr Hg
4 2 2
Cartesian
2.217 2.147 -0.928 Sr
2.287 -2.217 4.642 Sr
2.217 2.287 2.785 Sr
2.147 6.651 0.928 Sr
4.434 0.000 1.857 Cr
0.000 0.000 3.713 Cr
0.000 0.000 0.000 Hg
0.000 4.434 1.857 Hg

(5)
PBE La4PmDy4, relaxed; ΔE_f = 0.028 eV/atom; E above lowest polymorph = 0.000 eV per atom; E_tot = -42.620 eV for the cell shown; total magnetic moment = 0.0 μB/cell
1.0
-5.460 5.460 2.586
5.460 -5.460 2.586
5.460 5.460 -2.586
La Pm Dy
4 1 4
Cartesian
1.827 1.827 0.000 La
3.633 -3.633 2.586 La
-3.633 3.633 2.586 La
3.633 3.633 2.586 La
0.000 0.000 2.586 Pm
5.460 1.780 0.000 Dy
1.780 5.460 0.000 Dy
3.680 0.000 2.586 Dy
0.000 3.680 2.586 Dy

(6)
PBE Re2NiAu, relaxed; ΔE_f = 0.278 eV/atom; E above lowest polymorph = 0.078 eV per atom; E_tot = -32.842 eV for the cell shown; total magnetic moment = 0.0 μB/cell
1.0
3.145 0.000 0.000
0.000 3.145 0.000
0.000 0.000 6.004
Re Ni Au
2 1 1
Cartesian
0.000 0.000 0.000 Re
1.573 1.573 1.366 Re
1.573 1.573 4.626 Ni
0.000 0.000 3.200 Au

(7)
PBE Ti2CO, relaxed; E above lowest polymorph = 0.276 eV per atom; E_tot = -35.772 eV for the cell shown; total magnetic moment = 0.0 μB/cell; raw formation energy = -1450 meV per atom
1.0
1.613 0.931 5.834
-1.613 0.931 5.834
0.000 -1.863 5.834
Ti C O
2 1 1
Cartesian
0.000 0.000 1.836 Ti
0.000 0.000 15.666 Ti
0.000 0.000 8.751 C
0.000 0.000 0.000 O

(8)
PBE ZrAg2Au, relaxed; ΔE_f = 0.245 eV/atom; E above lowest polymorph = 0.434 eV per atom; E_tot = -33.099 eV for the cell shown; total magnetic moment = 0.0 μB/cell
1.0
-3.879 3.879 2.787
3.879 -3.879 2.787
3.879 3.879 -2.787
Zr Ag Au
2 4 2
Cartesian
0.000 0.000 0.000 Zr
0.000 3.879 1.394 Zr
1.940 2.033 -0.697 Ag
5.725 1.940 0.697 Ag
1.940 1.846 2.091 Ag
-1.846 1.940 3.484 Ag
3.879 0.000 1.394 Au
0.000 0.000 2.787 Au